1:
HgN2F | PBE-GGA | optimized geometry

Cell: 3.1951 4.4646 7.8427 Å, 76.96 78.32 69.69°
Closest atoms and distances in Å follow each position.
Space group P1 (No. 1)
Inequivalent atoms, fractional coordinates:
Hg 0.0000 0.0000 0.0000  3 F 2.37-2.45
N 0.0472 0.3362 0.5360  1 N 1.11
N 0.9642 0.5843 0.4563  1 N 1.11
F 0.6971 0.5658 0.0011  3 Hg 2.37-2.45

Results
M_tot (Bohr magnetons per cell): 0.00
N(E_F) (states/eV/atom): 0.20

***

2:
HgN2F | PBE-GGA | optimized geometry

Cell: 5.5762 5.5762 5.5762 Å, 90.00 90.00 90.00°
Closest atoms and distances in Å follow each position.
Space group Fm-3m (No. 225)
Inequivalent atoms, fractional coordinates:
Hg 0.0000 0.0000 0.0000  8 N 2.41
N 0.2500 0.2500 0.2500  4 Hg 2.41, 4 F 2.41
F 0.0000 0.0000 0.5000  8 N 2.41

Results
M_tot (Bohr magnetons per cell): 0.00
N(E_F) (states/eV/atom): 0.78

***

3:
HgN2F | PBE-GGA | optimized geometry

Cell: 3.5312 3.5312 16.4301 Å, 90.00 90.00 120.00°
Closest atoms and distances in Å follow each position.
Space group R-3m (No. 166, hexagonal axes)
Inequivalent atoms, fractional coordinates:
Hg 0.0000 0.0000 0.0000  6 N 2.25
N 0.0000 0.0000 0.3911  1 F 1.79
F 0.0000 0.0000 0.5000  2 N 1.79

Results
M_tot (Bohr magnetons per cell): 0.00
N(E_F) (states/eV/atom): 0.41

***

4:
HgN2F | PBE-GGA | optimized geometry

Cell: 3.7917 3.7917 13.0293 Å, 90.00 90.00 120.00°
Closest atoms and distances in Å follow each position.
Space group R-3m (No. 166, hexagonal axes)
Inequivalent atoms, fractional coordinates:
Hg 0.0000 0.0000 0.0000  2 N 2.07
N 0.0000 0.0000 0.1589  1 Hg 2.07, 3 F 2.19, 3 N 2.20
F 0.0000 0.0000 0.5000  6 N 2.19

Results
M_tot (Bohr magnetons per cell): 0.00
N(E_F) (states/eV/atom): 0.32

***

Order from most stable to least stable according to the calculation: 1, 3, 4, 2